# SmCr2MoO6 (GGA+U, relaxed)
# * density of states at the Fermi level: 0.0 states/eV per cell
# * DFT total energy: -7.8597 eV/atom
# * magnetic moment: 9.00 μB per formula unit
data_SmCr2MoO6
_cell_length_a 5.618
_cell_length_b 5.618
_cell_length_c 5.618
_cell_angle_alpha 57.87
_cell_angle_beta 57.87
_cell_angle_gamma 57.87
_space_group_name_H-M_alt 'P 1'
_space_group_IT_number 1
loop_
_space_group_symop_operation_xyz
'x,y,z'
loop_
_atom_site_label
_atom_site_fract_x
_atom_site_fract_y
_atom_site_fract_z
Sm1 0.000 0.000 0.000
Cr1 0.223 0.223 0.223
Cr2 0.731 0.731 0.731
Mo1 0.524 0.524 0.524
O1 0.094 0.453 0.852
O2 0.379 0.944 0.566
O3 0.453 0.852 0.094
O4 0.566 0.379 0.944
O5 0.852 0.094 0.453
O6 0.944 0.566 0.379